Entry from Alexandria via LeMat-Bulk: an optimized crystal structure of AgO6F12 (GGA-PBE).

Lattice parameters (Å, degrees): 6.546 6.546 6.546 78.51 78.51 78.51
Site moments in Bohr magnetons follow the coordinates.
Sites, in units of the cell vectors:
1 Ag 0.000 0.000 0.000  0.00
2 O 0.165 0.334 0.343  0.14
3 O 0.666 0.657 0.835  0.14
4 O 0.657 0.835 0.666  0.14
5 O 0.835 0.666 0.657  0.14
6 O 0.334 0.343 0.165  0.14
7 O 0.343 0.165 0.334  0.14
8 F 0.361 0.334 0.712  0.88
9 F 0.334 0.712 0.361  0.88
10 F 0.712 0.361 0.334  0.88
11 F 0.639 0.666 0.288  0.88
12 F 0.666 0.288 0.639  0.88
13 F 0.288 0.639 0.666  0.88
14 F 0.038 0.022 0.695  0.05
15 F 0.305 0.962 0.978  0.05
16 F 0.978 0.305 0.962  0.05
17 F 0.962 0.978 0.305  0.05
18 F 0.695 0.038 0.022  0.05
19 F 0.022 0.695 0.038  0.05

formation energy without anion corrections: 0.19 eV per atom
total moment: 7.0 μB/f.u.
calculated density: 2.70 g/cm3
SG: R-3

Entry from Alexandria via LeMat-Bulk: an optimized crystal structure of Li3AgPb2 (GGA-PBE).

Lattice parameters (Å, degrees): 5.003 7.976 6.359 90.00 90.00 71.72
Sites, in units of the cell vectors:
1 Li 0.824 0.351 0.770
2 Li 0.500 0.000 0.241
3 Li 0.176 0.649 0.230
4 Li 0.824 0.351 0.230
5 Li 0.176 0.649 0.770
6 Li 0.500 0.000 0.759
7 Ag 0.340 0.319 0.000
8 Ag 0.660 0.681 0.000
9 Pb 0.000 0.000 0.000
10 Pb 0.000 0.000 0.500
11 Pb 0.333 0.334 0.500
12 Pb 0.667 0.666 0.500

energy of formation: -0.229 eV/atom
total moment: 0.0 μB/f.u.
calculated density: 7.49 g/cm3
SG: Cmmm

Entry from Alexandria via LeMat-Bulk: an optimized crystal structure of Pr2DyZn2Ge2 (GGA-PBE).

Lattice parameters (Å, degrees): 4.182 4.182 11.741 79.74 79.74 60.00
Site moments in Bohr magnetons follow the coordinates.
Sites, in units of the cell vectors:
1 Pr 0.121 0.121 0.637  0.15
2 Pr 0.879 0.879 0.363  0.15
3 Dy 0.000 0.000 0.000  0.01
4 Zn 0.606 0.606 0.183  0.00
5 Zn 0.394 0.394 0.817  0.00
6 Ge 0.723 0.723 0.830  0.01
7 Ge 0.277 0.277 0.170  0.01

energy of formation: -0.481 eV/atom
total moment: 0.9 μB/f.u.
calculated density: 6.87 g/cm3
SG: R-3m

Entry from Alexandria via LeMat-Bulk: an optimized crystal structure of Ho3Al2Hg6 (GGA-PBE).

Lattice parameters (Å, degrees): 4.236 4.236 15.527 97.84 97.84 90.00
Sites, in units of the cell vectors:
1 Ho 0.000 0.000 0.000
2 Ho 0.829 0.829 0.658
3 Ho 0.171 0.171 0.342
4 Al 0.362 0.362 0.724
5 Al 0.638 0.638 0.276
6 Hg 0.076 0.576 0.151
7 Hg 0.576 0.076 0.151
8 Hg 0.924 0.424 0.849
9 Hg 0.424 0.924 0.849
10 Hg 0.727 0.727 0.455
11 Hg 0.273 0.273 0.545

energy of formation: -0.178 eV/atom
total moment: 0.0 μB/f.u.
calculated density: 10.65 g/cm3
SG: I4/mmm